# 1
A plane-wave DFT calculation with PBE was carried out for a relaxed structure of TbZrPt.

* mass density: 10.957 Mg/m³
* VASP energy: -7.07 eV per atom
* calculated formation energy: -192 kJ/mol of formula units
* magnetic moment: 0.00 μB/f.u.
* energy relative to the lowest polymorph listed for this composition: 0.160 eV/atom

Lattice parameters (Å, degrees): 6.117 6.117 6.117 147.05 147.05 47.29
Fractional positions:
Tb 0.000 0.000 0.000
Zr 0.298 0.298 0.000
Pt 0.669 0.669 0.000

# 2
A plane-wave DFT calculation with PBE was carried out for a relaxed structure of PmPrHoTh.

* mass density: 8.466 Mg/m³
* VASP energy: -5.36 eV per atom
* calculated formation energy: 10 kJ/mol of formula units
* magnetic moment: 0.00 μB/f.u.
* energy relative to the lowest polymorph listed for this composition: 0.000 eV/atom

Lattice parameters (Å, degrees): 3.613 3.613 10.259 90.00 90.00 90.00
Fractional positions:
Pm 0.000 0.000 0.000
Pr 0.500 0.500 0.267
Ho 0.000 0.000 0.524
Th 0.500 0.500 0.759

# 3
A plane-wave DFT calculation with PBE was carried out for a relaxed structure of AlRuO3.

* ΔE_f (raw): -1.08 eV/atom
* mass density: 5.928 Mg/m³
* VASP energy: -6.66 eV per atom
* magnetic moment: 4.85 μB/f.u.

Lattice parameters (Å, degrees): 3.667 3.667 3.667 90.00 90.00 90.00
Fractional positions:
Al 0.000 0.000 0.000
Ru 0.500 0.500 0.500
O 0.000 0.000 0.500
O 0.000 0.500 0.000
O 0.500 0.000 0.000

# 4
A plane-wave DFT calculation with PBE was carried out for a relaxed structure of TiIrC2.

* mass density: 8.566 Mg/m³
* VASP energy: -8.54 eV per atom
* calculated formation energy: 100 kJ/mol of formula units
* magnetic moment: 0.00 μB/f.u.
* energy relative to the lowest polymorph listed for this composition: 0.000 eV/atom

Lattice parameters (Å, degrees): 5.871 5.871 5.871 134.18 134.18 66.81
Fractional positions:
Ti 0.000 0.000 0.000
Ti 0.750 0.250 0.500
Ir 0.250 0.750 0.500
Ir 0.500 0.500 0.000
C 0.146 0.625 0.021
C 0.375 0.396 0.521
C 0.604 0.125 0.979
C 0.875 0.854 0.479

# 5
A plane-wave DFT calculation with PBE was carried out for a relaxed structure of UGeCl.

* ΔE_f (raw): -0.72 eV/atom
* mass density: 6.653 Mg/m³
* VASP energy: -6.64 eV per atom
* magnetic moment: 0.00 μB/f.u.

Lattice parameters (Å, degrees): 8.516 8.516 5.908 98.89 98.89 24.10
Fractional positions:
U 0.201 0.201 0.410
U 0.799 0.799 0.590
Ge 0.204 0.204 0.888
Ge 0.796 0.796 0.112
Cl 0.419 0.419 0.717
Cl 0.581 0.581 0.283

# 6
A plane-wave DFT calculation with PBE was carried out for a relaxed structure of Ce3YTh12.

* mass density: 10.958 Mg/m³
* VASP energy: -7.06 eV per atom
* calculated formation energy: 38 kJ/mol of formula units
* magnetic moment: 0.00 μB/f.u.

Lattice parameters (Å, degrees): 4.990 4.990 20.047 90.00 90.00 90.00
Fractional positions:
Ce 0.000 0.000 0.000
Ce 0.000 0.000 0.248
Ce 0.000 0.000 0.752
Y 0.000 0.000 0.500
Th 0.000 0.500 0.124
Th 0.000 0.500 0.372
Th 0.000 0.500 0.628
Th 0.000 0.500 0.876
Th 0.500 0.000 0.124
Th 0.500 0.000 0.372
Th 0.500 0.000 0.628
Th 0.500 0.000 0.876
Th 0.500 0.500 0.000
Th 0.500 0.500 0.246
Th 0.500 0.500 0.500
Th 0.500 0.500 0.754

# 7
A plane-wave DFT calculation with PBE was carried out for a relaxed structure of KZr2Cu.

* mass density: 4.881 Mg/m³
* VASP energy: -4.67 eV per atom
* calculated formation energy: 347 kJ/mol of formula units
* magnetic moment: 0.00 μB/f.u.
* energy relative to the lowest polymorph listed for this composition: 0.661 eV/atom

Lattice parameters (Å, degrees): 6.249 6.249 6.249 140.72 140.72 56.76
Fractional positions:
K 0.000 0.000 0.000
Zr 0.250 0.750 0.500
Zr 0.750 0.250 0.500
Cu 0.500 0.500 0.000

# 8
A plane-wave DFT calculation with PBE was carried out for a relaxed structure of PrInHg4.

* mass density: 11.079 Mg/m³
* VASP energy: -1.57 eV per atom
* calculated formation energy: -68 kJ/mol of formula units
* magnetic moment: 0.00 μB/f.u.
* energy relative to the lowest polymorph listed for this composition: 0.156 eV/atom

Lattice parameters (Å, degrees): 6.076 6.076 6.076 60.00 60.00 60.00
Fractional positions:
Pr 0.000 0.000 0.000
In 0.250 0.250 0.250
Hg 0.124 0.625 0.625
Hg 0.625 0.124 0.625
Hg 0.625 0.625 0.124
Hg 0.625 0.625 0.625

# 9
A plane-wave DFT calculation with PBE was carried out for a relaxed structure of TmCd3.

* mass density: 8.358 Mg/m³
* VASP energy: -1.85 eV per atom
* calculated formation energy: -17 kJ/mol of formula units
* magnetic moment: 0.00 μB/f.u.

Lattice parameters (Å, degrees): 5.924 5.924 5.924 81.12 81.12 81.12
Fractional positions:
Tm 0.151 0.151 0.151
Tm 0.849 0.849 0.849
Cd 0.256 0.256 0.636
Cd 0.256 0.636 0.256
Cd 0.364 0.744 0.744
Cd 0.636 0.256 0.256
Cd 0.744 0.364 0.744
Cd 0.744 0.744 0.364

# 10
A plane-wave DFT calculation with PBE was carried out for a relaxed structure of NbCdCu.

* mass density: 8.277 Mg/m³
* VASP energy: -4.66 eV per atom
* calculated formation energy: 107 kJ/mol of formula units
* magnetic moment: 0.00 μB/f.u.
* energy relative to the lowest polymorph listed for this composition: 0.263 eV/atom

Lattice parameters (Å, degrees): 6.806 6.806 6.806 38.13 38.13 38.13
Fractional positions:
Nb 0.206 0.206 0.206
Nb 0.794 0.794 0.794
Cd 0.376 0.376 0.376
Cd 0.624 0.624 0.624
Cu 0.068 0.068 0.068
Cu 0.932 0.932 0.932

# 11
A plane-wave DFT calculation with PBE was carried out for a relaxed structure of TbYEr5.

* mass density: 8.159 Mg/m³
* VASP energy: -4.65 eV per atom
* calculated formation energy: 131 kJ/mol of formula units
* magnetic moment: 0.00 μB/f.u.
* energy relative to the lowest polymorph listed for this composition: 0.000 eV/atom

Lattice parameters (Å, degrees): 6.691 6.691 12.077 106.95 106.95 60.09
Fractional positions:
Tb 0.026 0.974 0.750
Tb 0.974 0.026 0.250
Y 0.000 0.500 0.000
Y 0.500 0.000 0.500
Er 0.139 0.420 0.751
Er 0.191 0.653 0.500
Er 0.347 0.809 0.000
Er 0.416 0.584 0.250
Er 0.420 0.139 0.251
Er 0.580 0.861 0.749
Er 0.584 0.416 0.750
Er 0.653 0.191 0.000
Er 0.809 0.347 0.500
Er 0.861 0.580 0.249

# 12
A plane-wave DFT calculation with PBE was carried out for a relaxed structure of ZnCrCdC2.

* mass density: 5.774 Mg/m³
* VASP energy: -4.76 eV per atom
* calculated formation energy: 623 kJ/mol of formula units
* magnetic moment: 0.00 μB/f.u.

Lattice parameters (Å, degrees): 3.849 3.849 4.928 90.00 90.00 90.00
Fractional positions:
Zn 0.000 0.000 0.000
Cr 0.000 0.000 0.500
Cd 0.500 0.500 0.000
C 0.000 0.500 0.500
C 0.500 0.000 0.500

# 13
A plane-wave DFT calculation with PBE was carried out for a relaxed structure of Nd8Al2Tc.

* mass density: 6.715 Mg/m³
* VASP energy: -5.19 eV per atom
* calculated formation energy: -103 kJ/mol of formula units
* magnetic moment: 0.00 μB/f.u.

Lattice parameters (Å, degrees): 9.252 9.252 7.104 110.51 110.51 34.82
Fractional positions:
Nd 0.009 0.009 0.266
Nd 0.198 0.198 0.747
Nd 0.354 0.354 0.588
Nd 0.392 0.392 0.093
Nd 0.608 0.608 0.907
Nd 0.646 0.646 0.412
Nd 0.802 0.802 0.253
Nd 0.991 0.991 0.734
Al 0.184 0.184 0.187
Al 0.816 0.816 0.813
Tc 0.500 0.500 0.500

# 14
A plane-wave DFT calculation with PBE was carried out for a relaxed structure of Sr5Tl2.

* mass density: 4.531 Mg/m³
* VASP energy: -2.14 eV per atom
* calculated formation energy: -177 kJ/mol of formula units
* magnetic moment: 0.00 μB/f.u.
* energy relative to the lowest polymorph listed for this composition: 0.007 eV/atom

Lattice parameters (Å, degrees): 10.189 10.189 8.767 98.44 98.44 43.69
Fractional positions:
Sr 0.079 0.921 0.750
Sr 0.143 0.296 0.320
Sr 0.290 0.535 0.075
Sr 0.296 0.143 0.820
Sr 0.465 0.710 0.425
Sr 0.535 0.290 0.575
Sr 0.704 0.857 0.180
Sr 0.710 0.465 0.925
Sr 0.857 0.704 0.680
Sr 0.921 0.079 0.250
Tl 0.101 0.678 0.423
Tl 0.322 0.899 0.077
Tl 0.678 0.101 0.923
Tl 0.899 0.322 0.577

# 15
A plane-wave DFT calculation with PBE was carried out for a relaxed structure of B3SbS.

* ΔE_f (raw): 2.19 eV/atom
* mass density: 3.387 Mg/m³
* VASP energy: -3.47 eV per atom
* magnetic moment: 0.00 μB/f.u.
* energy relative to the lowest polymorph listed for this composition: 0.641 eV/atom

Lattice parameters (Å, degrees): 4.503 4.503 4.503 90.00 90.00 90.00
Fractional positions:
B 0.000 0.000 0.500
B 0.000 0.500 0.000
B 0.500 0.000 0.000
Sb 0.000 0.000 0.000
S 0.500 0.500 0.500

# 16
A plane-wave DFT calculation with PBE was carried out for a relaxed structure of RbCeAsO6.

* ΔE_f (raw): -1.62 eV/atom
* mass density: 3.929 Mg/m³
* VASP energy: -6.21 eV per atom
* magnetic moment: 2.04 μB/f.u.

Lattice parameters (Å, degrees): 5.565 5.565 6.247 90.00 90.00 120.00
Fractional positions:
Rb 0.000 0.000 0.000
Ce 0.333 0.667 0.500
As 0.667 0.333 0.500
O 0.405 0.052 0.672
O 0.405 0.353 0.328
O 0.647 0.052 0.328
O 0.647 0.595 0.672
O 0.948 0.353 0.672
O 0.948 0.595 0.328

# 17
A plane-wave DFT calculation with PBE was carried out for a relaxed structure of Ca4Cd3CuO8.

* ΔE_f (raw): -1.89 eV/atom
* mass density: 5.264 Mg/m³
* VASP energy: -5.30 eV per atom
* magnetic moment: 0.96 μB/f.u.

Lattice parameters (Å, degrees): 6.787 6.787 6.492 117.11 117.11 58.47
Fractional positions:
Ca 0.000 0.000 0.000
Ca 0.000 0.500 0.500
Ca 0.500 0.000 0.500
Ca 0.500 0.500 0.000
Cd 0.000 0.000 0.500
Cd 0.000 0.500 0.000
Cd 0.500 0.000 0.000
Cu 0.500 0.500 0.500
O 0.224 0.224 0.225
O 0.258 0.258 0.760
O 0.263 0.724 0.722
O 0.276 0.737 0.278
O 0.724 0.263 0.722
O 0.737 0.276 0.278
O 0.742 0.742 0.240
O 0.776 0.776 0.775

# 18
A plane-wave DFT calculation with PBE was carried out for a relaxed structure of Al2VGa.

* mass density: 4.657 Mg/m³
* VASP energy: -5.01 eV per atom
* calculated formation energy: -41 kJ/mol of formula units
* magnetic moment: 1.39 μB/f.u.

Lattice parameters (Å, degrees): 3.404 3.404 5.373 90.00 90.00 90.00
Fractional positions:
Al 0.000 0.000 0.240
Al 0.000 0.000 0.760
V 0.500 0.500 0.000
Ga 0.500 0.500 0.500

# 19
A plane-wave DFT calculation with PBE was carried out for a relaxed structure of Hg2PtAu.

* mass density: 17.284 Mg/m³
* VASP energy: -2.37 eV per atom
* calculated formation energy: 41 kJ/mol of formula units
* magnetic moment: 0.00 μB/f.u.
* energy relative to the lowest polymorph listed for this composition: 0.065 eV/atom

Lattice parameters (Å, degrees): 4.140 4.230 4.352 90.00 90.00 90.00
Fractional positions:
Hg 0.000 0.000 0.000
Hg 0.000 0.500 0.500
Pt 0.500 0.000 0.500
Au 0.500 0.500 0.000

# 20
A plane-wave DFT calculation with PBE was carried out for a relaxed structure of ZrBiCl2.

* ΔE_f (raw): -1.20 eV/atom
* mass density: 4.827 Mg/m³
* VASP energy: -5.24 eV per atom
* magnetic moment: 0.00 μB/f.u.
* energy relative to the lowest polymorph listed for this composition: 0.000 eV/atom

Lattice parameters (Å, degrees): 3.341 8.304 9.632 75.16 83.58 82.69
Fractional positions:
Zr 0.245 0.272 0.242
Zr 0.755 0.728 0.758
Bi 0.373 0.408 0.891
Bi 0.627 0.592 0.109
Cl 0.172 0.941 0.812
Cl 0.322 0.730 0.551
Cl 0.678 0.270 0.449
Cl 0.828 0.059 0.188